1.
This record from the Alexandria database describes Sr3Ag2BiO6 after structural relaxation. The functional is PBE.

Lattice parameters (Å, degrees): 6.1161 6.1161 6.5804 90.00 90.00 120.00
With the nearest neighbours (Å) after each atom.
Element x y z (fractional)
Sr (0.3333, 0.6667, 0.5862)  3 O 2.57
Sr (0.6667, 0.3333, 0.4138)  3 O 2.57
Sr (0.0000, 0.0000, 0.0000)  6 O 2.67
Ag (0.6667, 0.3333, 0.9116)  3 O 2.29
Ag (0.3333, 0.6667, 0.0884)  3 O 2.29
Bi (0.0000, 0.0000, 0.5000)  6 O 2.16
O (0.6704, 0.8352, 0.3062)  1 Bi 2.16, 1 Ag 2.29
O (0.1648, 0.3296, 0.3062)  1 Bi 2.16, 1 Ag 2.29
O (0.1648, 0.8352, 0.3062)  1 Bi 2.16, 1 Ag 2.29
O (0.8352, 0.6704, 0.6938)  1 Bi 2.16, 1 Ag 2.29
O (0.3296, 0.1648, 0.6938)  1 Bi 2.16, 1 Ag 2.29
O (0.8352, 0.1648, 0.6938)  1 Bi 2.16, 1 Ag 2.29

Results
As for the calculated volume: 17.764 Å³/atom. As for the symmetry: P-3m1 (164).


2.
This record from the Alexandria database describes Sr2AgBiO4 after structural relaxation. The functional is PBE.

Lattice parameters (Å, degrees): 3.6557 6.3001 6.1190 109.54 90.00 90.00
With the nearest neighbours (Å) after each atom.
Element x y z (fractional)
Sr (0.5000, 0.0000, 0.5000)  6 O 2.61-2.65
Sr (0.0000, 0.5000, 0.5000)  6 O 2.47-2.50
Ag (0.0000, 0.0000, 0.0000)  6 O 2.60-2.63
Bi (0.5000, 0.5000, 0.0000)  6 O 2.42-2.51
O (0.5000, 0.2737, 0.2513)  1 Bi 2.42, 3 Sr 2.50-2.65, 2 Ag 2.63
O (0.5000, 0.7263, 0.7487)  1 Bi 2.42, 3 Sr 2.50-2.65, 2 Ag 2.63
O (0.0000, 0.2649, 0.7527)  3 Sr 2.47-2.61, 2 Bi 2.51, 1 Ag 2.60
O (0.0000, 0.7351, 0.2473)  3 Sr 2.47-2.61, 2 Bi 2.51, 1 Ag 2.60

Results
As for the calculated volume: 16.602 Å³/atom. As for the symmetry: P2/m (10).


no.,E (eV per atom)
1,-5.164
2,-5.429